No. 1
Entry from Alexandria: a geometry-optimized Zr2CdF structure (PBE-GGA).

Lattice parameters (Å, degrees): 5.2352 5.2352 13.5676 90.00 90.00 90.00
Closest atoms and distances in Å follow each position.
Space group I-42d (No. 122)
Asymmetric unit:
Zr 0.1071 0.2500 0.1250 (multiplicity 8)  2 F 2.21
Cd 0.0000 0.0000 0.5000 (multiplicity 4)  4 Zr 2.97
F 0.0000 0.0000 0.0000 (multiplicity 4)  4 Zr 2.21

Output
Relative energy among the computed polymorphs in meV per atom: 22
Size of the total moment in μB per formula unit: 0.00
Theoretical density in g/cm³: 5.61
ΔE_f (raw) in eV/atom: -0.3708


No. 2
Entry from Alexandria: a geometry-optimized Ca2CoOs structure (PBE-GGA).

Lattice parameters (Å, degrees): 4.2495 4.2495 4.3165 90.00 90.00 90.00
Closest atoms and distances in Å follow each position.
Space group P4/mmm (No. 123)
Asymmetric unit:
Ca 0.0000 0.5000 0.0000 (multiplicity 2)  4 Ca 3.00, 4 Co 3.03, 4 Os 3.03
Co 0.0000 0.0000 0.5000 (multiplicity 1)  4 Os 3.00, 8 Ca 3.03
Os 0.5000 0.5000 0.5000 (multiplicity 1)  4 Co 3.00, 8 Ca 3.03

Output
Relative energy among the computed polymorphs in meV per atom: 565
Formation enthalpy at 0 K in meV/atom: 697
Size of the total moment in μB per formula unit: 2.06
Theoretical density in g/cm³: 7.02